No. 1
TlCoRhCl6 after structural relaxation, computed with PBE-GGA.

It has space group C2 (No. 5), with a = 6.277 Å, b = 10.877 Å, c = 7.161 Å, α = 90.00°, β = 90.45° and γ = 90.00°. Symmetry generates all atoms from Tl at (0.000, 0.000, 0.000), Co at (0.000, 0.668, 0.500), Rh at (0.000, 0.333, 0.500), Cl at (0.128, 0.496, 0.690), Cl at (0.176, 0.184, 0.688) and Cl at (0.191, 0.818, 0.687).

As for the formation energy without anion corrections: -677 meV/atom. The calculation puts the density at 3.9 g/cm3. The density of states at the Fermi level comes out at 2.438 states/eV/cell.

No. 2
CoRhWCl2 after structural relaxation, computed with PBE-GGA.

It has space group P4/mmm (No. 123), with a = 4.608 Å, b = 4.608 Å, c = 4.987 Å, α = 90.00°, β = 90.00° and γ = 90.00°. Symmetry generates all atoms from Co at (0.000, 0.000, 0.000), Rh at (0.500, 0.500, 0.000), W at (0.500, 0.500, 0.500) and Cl at (0.000, 0.500, 0.500).

As for the formation energy without anion corrections: 1086 meV/atom. The calculation puts the density at 6.5 g/cm3. The density of states at the Fermi level comes out at 9.363 states/eV/cell.

No. 3
CoRuCl4 after structural relaxation, computed with PBE-GGA.

It has space group F-43m (No. 216), with a = 8.126 Å, b = 8.126 Å, c = 8.126 Å, α = 90.00°, β = 90.00° and γ = 90.00°. Symmetry generates all atoms from Co at (0.000, 0.000, 0.000), Ru at (0.250, 0.250, 0.750) and Cl at (0.125, 0.125, 0.375).

As for the formation energy without anion corrections: 1441 meV/atom. The calculation puts the density at 3.7 g/cm3. The density of states at the Fermi level comes out at 39.147 states/eV/cell.

No. 4
CoRu4Cl after structural relaxation, computed with PBE-GGA.

It has space group F-43m (No. 216), with a = 7.260 Å, b = 7.260 Å, c = 7.260 Å, α = 90.00°, β = 90.00° and γ = 90.00°. Symmetry generates all atoms from Co at (0.000, 0.000, 0.000), Ru at (0.125, 0.125, 0.625) and Cl at (0.250, 0.250, 0.250).

As for the formation energy without anion corrections: 1177 meV/atom. The calculation puts the density at 8.7 g/cm3. The density of states at the Fermi level comes out at 48.096 states/eV/cell.

No. 5
CoRuCl6 after structural relaxation, computed with PBE-GGA.

It has space group C2/m (No. 12), with a = 5.966 Å, b = 12.115 Å, c = 5.965 Å, α = 90.00°, β = 108.27° and γ = 90.00°. Symmetry generates all atoms from Co at (0.000, 0.000, 0.000), Ru at (0.000, 0.500, 0.500), Cl at (0.241, 0.500, 0.259) and Cl at (0.249, 0.368, 0.749).

As for the formation energy without anion corrections: -453 meV/atom. The calculation puts the density at 3.0 g/cm3. The density of states at the Fermi level comes out at 13.644 states/eV/cell.

No. 6
CoRu2SCl after structural relaxation, computed with PBE-GGA.

It has space group P4/mmm (No. 123), with a = 4.465 Å, b = 4.465 Å, c = 4.042 Å, α = 90.00°, β = 90.00° and γ = 90.00°. Symmetry generates all atoms from Co at (0.000, 0.000, 0.000), Ru at (0.000, 0.500, 0.500), S at (0.500, 0.500, 0.000) and Cl at (0.000, 0.000, 0.500).

As for the formation energy without anion corrections: 1264 meV/atom. The calculation puts the density at 6.8 g/cm3. The density of states at the Fermi level comes out at 7.127 states/eV/cell.